Density functional theory data (GGA-PBE) for a geometry-optimized Dy3Ni2P3 structure.

## Properties
Size of the total moment in μB per formula unit: 0.6
ΔH_f (0 K) in eV/atom: -1.1397

abc: 5.5587 5.5587 13.5824
angles: 90.00 90.00 138.41
Last column: nearest neighbours and their distance in Å.
Atoms (fractional coordinates):
Dy  0.0749  0.9251  0.6084  7 P 2.88-3.14, 4 Ni 2.88-3.15
Dy  0.0749  0.9251  0.8916  7 P 2.88-3.14, 4 Ni 2.88-3.15
Dy  0.3597  0.6403  0.7500  4 P 2.75-2.89, 4 Ni 3.02
Dy  0.6403  0.3597  0.2500  4 P 2.75-2.89, 4 Ni 3.02
Dy  0.9251  0.0749  0.1084  7 P 2.88-3.14, 4 Ni 2.88-3.15
Dy  0.9251  0.0749  0.3916  7 P 2.88-3.14, 4 Ni 2.88-3.15
Ni  0.2236  0.7764  0.0939  4 P 2.27-2.46
Ni  0.2236  0.7764  0.4061  4 P 2.27-2.46
Ni  0.7764  0.2236  0.5939  4 P 2.27-2.46
Ni  0.7764  0.2236  0.9061  4 P 2.27-2.46
P  0.3435  0.6565  0.2500  2 Ni 2.46
P  0.3664  0.6336  0.5476  3 Ni 2.27-2.43
P  0.3664  0.6336  0.9524  3 Ni 2.27-2.43
P  0.6336  0.3664  0.0476  3 Ni 2.27-2.43
P  0.6336  0.3664  0.4524  3 Ni 2.27-2.43
P  0.6565  0.3435  0.7500  2 Ni 2.46